No. 1
Here is BaTlHg2Au after structural relaxation from Alexandria. Energies are from GGA-PBE.

The structure in CIF format:
```
data_BaTlHg2Au
_cell_length_a 4.6656
_cell_length_b 4.7437
_cell_length_c 7.5003
_cell_angle_alpha 108.44
_cell_angle_beta 108.12
_cell_angle_gamma 90.00
_space_group_name_H-M_alt 'P 1'
_space_group_IT_number 1
loop_
_space_group_symop_operation_xyz
'x,y,z'
loop_
_atom_site_label
_atom_site_type_symbol
_atom_site_fract_x
_atom_site_fract_y
_atom_site_fract_z
_atom_site_occupancy
Hg1 Hg 0.7009 0.2009 0.4018 1
Hg2 Hg 0.0470 0.0470 0.0939 1
Au1 Au 0.8365 0.8365 0.6731 1
Tl1 Tl 0.1958 0.6958 0.3917 1
Ba1 Ba 0.4319 0.4319 0.8638 1
```

Properties
Polymorph energy (0 for the lowest one) (eV/atom): 0.000
Space-group type: Imm2
ΔH_f (0 K) (eV per atom): -0.37
E (eV/atom): -2.008
Volume (Å³/cell): 148.77

---

No. 2
Here is LaZn4Pt2 after structural relaxation from Alexandria. Energies are from GGA-PBE.

The structure in CIF format:
```
data_LaZn4Pt2
_cell_length_a 4.2895
_cell_length_b 7.6758
_cell_length_c 7.6758
_cell_angle_alpha 90.00
_cell_angle_beta 90.00
_cell_angle_gamma 90.00
_space_group_name_H-M_alt 'P 1'
_space_group_IT_number 1
loop_
_space_group_symop_operation_xyz
'x,y,z'
loop_
_atom_site_label
_atom_site_type_symbol
_atom_site_fract_x
_atom_site_fract_y
_atom_site_fract_z
_atom_site_occupancy
La1 La 0.5000 0.0000 0.0000 1
La2 La 0.0000 0.5000 0.5000 1
Zn1 Zn 0.5000 0.8508 0.4065 1
Zn2 Zn 0.0000 0.3508 0.0935 1
Zn3 Zn 0.0000 0.0935 0.3508 1
Zn4 Zn 0.5000 0.5935 0.1492 1
Zn5 Zn 0.0000 0.6492 0.9065 1
Zn6 Zn 0.0000 0.9065 0.6492 1
Zn7 Zn 0.5000 0.1492 0.5935 1
Zn8 Zn 0.5000 0.4065 0.8508 1
Pt1 Pt 0.0000 0.7795 0.2205 1
Pt2 Pt 0.5000 0.2795 0.2795 1
Pt3 Pt 0.5000 0.7205 0.7205 1
Pt4 Pt 0.0000 0.2205 0.7795 1
```

Properties
Polymorph energy (0 for the lowest one) (eV/atom): 0.000
Space-group type: P4_2/mnm
ΔH_f (0 K) (eV per atom): -0.68
E (eV/atom): -3.841
Volume (Å³/cell): 252.73

---

No. 3
Here is Ba2LiBiSe after structural relaxation from Alexandria. Energies are from GGA-PBE.

The structure in CIF format:
```
data_Ba2LiBiSe
_cell_length_a 6.2908
_cell_length_b 6.2908
_cell_length_c 4.8635
_cell_angle_alpha 90.00
_cell_angle_beta 90.00
_cell_angle_gamma 90.00
_space_group_name_H-M_alt 'P 1'
_space_group_IT_number 1
loop_
_space_group_symop_operation_xyz
'x,y,z'
loop_
_atom_site_label
_atom_site_type_symbol
_atom_site_fract_x
_atom_site_fract_y
_atom_site_fract_z
_atom_site_occupancy
Ba1 Ba 0.5000 0.0000 0.0000 1
Ba2 Ba 0.0000 0.5000 0.0000 1
Li1 Li 0.0000 0.0000 0.5000 1
Se1 Se 0.0000 0.0000 0.0000 1
Bi1 Bi 0.5000 0.5000 0.5000 1
```

Properties
Formation energy without anion corrections (meV/atom): -1123
Space-group type: P4/mmm
E (eV/atom): -3.748
Volume (Å³/cell): 192.47

---

- Look up the volume of the third one.
  192.47 Å³/cell

---

- E of number 3 (Ba2LiBiSe)?
  -3.748 eV/atom

---

- The highest E belongs to which entry?
  BaTlHg2Au

---

- What is the formula in the first record?
  BaTlHg2Au